A plane-wave DFT calculation with PBE-GGA was carried out for an optimized crystal structure of CaPmRuPt.

The structure belongs to space group F-43m (No. 216); the cell edges are 6.9665, 6.9665 and 6.9665 Å and the angles 90.00°, 90.00° and 90.00°. The distinct sites, in fractional coordinates, are Ca at (0.0000, 0.0000, 0.0000), Pm at (0.0000, 0.0000, 0.5000), Ru at (0.2500, 0.2500, 0.7500) and Pt at (0.2500, 0.2500, 0.2500).

The spin magnetization comes out at 0.00 μB per atom. For the calculated total energy, the calculation gives -94.902 eV for the cell shown.